Computed, not measured: La2CeMnN4 after structural relaxation at the PBE-GGA level of DFT.

Summary:
- Volume: 511.75 Å³ per cell
- Total magnetic moment: 4.13 μB/f.u.
- Formation energy (no corrections): -7.902 eV per formula unit

Unit cell a=3.4983 b=11.6946 c=12.5089 alpha=90.00 beta=90.00 gamma=90.00
Space group Cmcm (No. 63)
One atom of each set of equivalent atoms:
La (0.0000, 0.1329, 0.0473)
Ce (0.0000, 0.3977, 0.2500)
Mn (0.0000, 0.3298, 0.7500)
N (0.0000, 0.0732, 0.2500)
N (0.0000, 0.2179, 0.6419)
N (0.0000, 0.5000, 0.0000)